Material: ZrBMo2
Method: DFT, GGA-PBE
State: relaxed

Cell: 4.396 4.396 4.396 Å, 60.00 60.00 60.00°
Fractional positions:
Zr 0.000 0.000 0.000
B 0.750 0.750 0.750
Mo 0.250 0.250 0.250
Mo 0.500 0.500 0.500

## Properties
The calculation puts the electronic total energy at -35.4 eV per cell. Its space group is F-43m, No. 216. The crystal system is cubic. The total moment comes out at 0.004 μB per formula unit.